# PBEsol Sr2ScF7, relaxed
data_Sr2ScF7
_cell_length_a 5.418
_cell_length_b 12.125
_cell_length_c 8.190
_cell_angle_alpha 90.00
_cell_angle_beta 90.52
_cell_angle_gamma 90.00
_space_group_name_H-M_alt 'P 1 21/c 1'
_space_group_IT_number 14
loop_
_space_group_symop_operation_xyz
'x,y,z'
'-x,-y,-z'
'-x,y+1/2,-z+1/2'
'x,-y+1/2,z+1/2'
loop_
_atom_site_label
_atom_site_fract_x
_atom_site_fract_y
_atom_site_fract_z
Sr1 0.236 0.062 0.324
Sr2 0.236 0.720 0.446
Sc1 0.276 0.125 0.786
F1 0.015 0.105 0.591
F2 0.015 0.245 0.305
F3 0.201 0.539 0.289
F4 0.204 0.137 0.028
F5 0.382 0.573 0.627
F6 0.491 0.105 0.576
F7 0.491 0.231 0.297
# **D(E_F)**: 0.000 states/eV/atom
# **Crystal system**: monoclinic
# **Energy relative to the elements, uncorrected**: -3985 meV per atom
# **Volume**: 538.0 Å³ per cell

***

# PBEsol Sr2ScF, relaxed
data_Sr2ScF
_cell_length_a 8.132
_cell_length_b 8.132
_cell_length_c 8.132
_cell_angle_alpha 90.00
_cell_angle_beta 90.00
_cell_angle_gamma 90.00
_space_group_name_H-M_alt 'F m -3 m'
_space_group_IT_number 225
_space_group_name_Hall '-F 4 2 3'
loop_
_atom_site_label
_atom_site_fract_x
_atom_site_fract_y
_atom_site_fract_z
Sr1 0.250 0.250 0.250
Sc1 0.000 0.000 0.000
F1 0.000 0.000 0.500
# **D(E_F)**: 1.695 states/eV/atom
# **Crystal system**: cubic
# **Energy relative to the elements, uncorrected**: -192 meV per atom
# **Volume**: 537.8 Å³ per cell

***

# PBEsol ScTcF2, relaxed
data_ScTcF2
_cell_length_a 5.887
_cell_length_b 5.887
_cell_length_c 5.887
_cell_angle_alpha 90.00
_cell_angle_beta 90.00
_cell_angle_gamma 90.00
_space_group_name_H-M_alt 'F m -3 m'
_space_group_IT_number 225
_space_group_name_Hall '-F 4 2 3'
loop_
_atom_site_label
_atom_site_fract_x
_atom_site_fract_y
_atom_site_fract_z
Sc1 0.000 0.000 0.000
Tc1 0.000 0.000 0.500
F1 0.250 0.250 0.250
# **D(E_F)**: 0.564 states/eV/atom
# **Crystal system**: cubic
# **Energy relative to the elements, uncorrected**: -785 meV per atom
# **Volume**: 204.0 Å³ per cell